Here is a relaxed YSbPd2 crystal from Alexandria. Energies are from PBE-GGA.

Its crystal system is tetragonal. The total energy comes out at -24.03 eV/cell. For the formation energy from raw total energies, the calculation gives -3.060 eV per formula unit. As for the space group: P4/mmm.

Cell lengths 4.1016, 4.4297, 4.4297 Å; angles 90.00, 90.00, 90.00 degrees
Closest atoms and distances in Å follow each position.
Sites, in units of the cell vectors:
Pd1 0.0000 0.5000 0.0000  4 Sb 3.02, 4 Y 3.02, 4 Pd 3.13
Y1 0.5000 0.0000 0.0000  8 Pd 3.02, 4 Sb 3.13
Sb1 0.5000 0.5000 0.5000  8 Pd 3.02, 4 Y 3.13
Pd2 0.0000 0.0000 0.5000  4 Sb 3.02, 4 Y 3.02, 4 Pd 3.13

Here is a relaxed YSb2Pd2 crystal from Alexandria. Energies are from PBE-GGA.

Its crystal system is tetragonal. The value obtained for the energy above the lowest structure with this stoichiometry is 0.066 eV per atom. The total energy comes out at -56.17 eV/cell. For the formation energy from raw total energies, the calculation gives -2.989 eV per formula unit. As for the space group: P4/mbm.

Cell lengths 7.6500, 7.6500, 3.6975 Å; angles 90.00, 90.00, 90.00 degrees
Closest atoms and distances in Å follow each position.
Sites, in units of the cell vectors:
Sb1 0.6788 0.8212 0.5000  6 Pd 2.81-3.00
Pd1 0.1253 0.3747 0.0000  1 Pd 2.71, 6 Sb 2.81-3.00, 2 Y 3.02
Y1 0.5000 0.5000 0.0000  4 Pd 3.02, 8 Sb 3.37
Pd2 0.3747 0.8747 0.0000  1 Pd 2.71, 6 Sb 2.81-3.00, 2 Y 3.02
Pd3 0.8747 0.6253 0.0000  1 Pd 2.71, 6 Sb 2.81-3.00, 2 Y 3.02
Y2 0.0000 0.0000 0.0000  4 Pd 3.02, 8 Sb 3.37
Sb2 0.3212 0.1788 0.5000  6 Pd 2.81-3.00
Pd4 0.6253 0.1253 0.0000  1 Pd 2.71, 6 Sb 2.81-3.00, 2 Y 3.02
Sb3 0.1788 0.6788 0.5000  6 Pd 2.81-3.00
Sb4 0.8212 0.3212 0.5000  6 Pd 2.81-3.00

Here is a relaxed YSbPd2 crystal from Alexandria. Energies are from PBE-GGA.

Its crystal system is tetragonal. The total energy comes out at -46.41 eV/cell. For the formation energy from raw total energies, the calculation gives -2.234 eV per formula unit. As for the space group: I-42d.

Cell lengths 4.4580, 4.4580, 9.6759 Å; angles 76.68, 76.68, 90.00 degrees
Closest atoms and distances in Å follow each position.
Sites, in units of the cell vectors:
Y1 0.2500 0.7500 0.5000  4 Pd 2.86, 4 Sb 3.15
Pd1 0.3750 0.3333 0.7500  2 Sb 2.71, 2 Y 2.86, 2 Pd 2.90
Pd2 0.8750 0.9167 0.7500  2 Sb 2.71, 2 Y 2.86, 2 Pd 2.90
Sb1 0.7500 0.2500 0.5000  4 Pd 2.71
Pd3 0.6667 0.1250 0.2500  2 Sb 2.71, 2 Y 2.86, 2 Pd 2.90
Sb2 0.0000 0.0000 0.0000  4 Pd 2.71
Pd4 0.0833 0.6250 0.2500  2 Sb 2.71, 2 Y 2.86, 2 Pd 2.90
Y2 0.5000 0.5000 0.0000  4 Pd 2.86, 4 Sb 3.15

Here is a relaxed YSbPd3 crystal from Alexandria. Energies are from PBE-GGA.

Its crystal system is cubic. The value obtained for the energy above the lowest structure with this stoichiometry is 0.181 eV per atom. The total energy comes out at -27.34 eV/cell. For the formation energy from raw total energies, the calculation gives -1.178 eV per formula unit. As for the space group: Pm-3m.

Cell lengths 4.9253, 4.9253, 4.9253 Å; angles 90.00, 90.00, 90.00 degrees
Closest atoms and distances in Å follow each position.
Sites, in units of the cell vectors:
Pd1 0.5000 0.0000 0.0000  2 Sb 2.46
Pd2 0.0000 0.5000 0.0000  2 Sb 2.46
Sb1 0.0000 0.0000 0.0000  6 Pd 2.46
Pd3 0.0000 0.0000 0.5000  2 Sb 2.46
Y1 0.5000 0.5000 0.5000  12 Pd 3.48

Here is a relaxed YSb2Pd8 crystal from Alexandria. Energies are from PBE-GGA.

Its crystal system is monoclinic. The total energy comes out at -61.38 eV/cell. For the formation energy from raw total energies, the calculation gives -5.124 eV per formula unit. As for the space group: C2/m.

Cell lengths 4.6868, 7.1557, 7.1557 Å; angles 115.10, 101.30, 101.30 degrees
Closest atoms and distances in Å follow each position.
Sites, in units of the cell vectors:
Pd1 0.5000 0.7690 0.2310  2 Sb 2.56, 1 Y 2.79
Pd2 0.5000 0.2310 0.7690  2 Sb 2.56, 1 Y 2.79
Pd3 0.8916 0.9242 0.6837  2 Sb 2.67-2.76, 4 Pd 2.80-2.99
Sb1 0.0000 0.6829 0.3171  8 Pd 2.56-2.76
Pd4 0.8916 0.6837 0.9242  2 Sb 2.67-2.76, 4 Pd 2.80-2.99
Pd5 0.3245 0.6066 0.6066  2 Sb 2.64, 4 Pd 2.71-2.92, 1 Y 2.83
Y1 0.5000 0.0000 0.0000  12 Pd 2.79-3.12
Pd6 0.1084 0.3163 0.0758  2 Sb 2.67-2.76, 4 Pd 2.80-2.99
Pd7 0.6755 0.3934 0.3934  2 Sb 2.64, 4 Pd 2.71-2.92, 1 Y 2.83
Sb2 0.0000 0.3171 0.6829  8 Pd 2.56-2.76
Pd8 0.1084 0.0758 0.3163  2 Sb 2.67-2.76, 4 Pd 2.80-2.99

Here is a relaxed Y2SbPd8 crystal from Alexandria. Energies are from PBE-GGA.

Its crystal system is orthorhombic. The total energy comes out at -65.66 eV/cell. For the formation energy from raw total energies, the calculation gives -7.068 eV per formula unit. As for the space group: Immm.

Cell lengths 4.7564, 5.9355, 8.1557 Å; angles 111.31, 106.95, 90.00 degrees
Closest atoms and distances in Å follow each position.
Sites, in units of the cell vectors:
Pd1 0.8169 0.8167 0.6337  8 Pd 2.90-3.03, 4 Y 2.97-3.02
Y1 0.8123 0.3123 0.6246  12 Pd 2.85-3.10
Pd2 0.1831 0.1833 0.3663  8 Pd 2.90-3.03, 4 Y 2.97-3.02
Pd3 0.9999 0.2481 0.9998  2 Sb 2.80, 8 Pd 2.95-3.12, 2 Y 3.09-3.10
Pd4 0.6401 0.4013 0.2802  1 Sb 2.55, 1 Pd 2.84, 2 Y 2.85
Pd5 0.3599 0.5987 0.7198  1 Sb 2.55, 1 Pd 2.84, 2 Y 2.85
Pd6 0.0001 0.7519 0.0002  2 Sb 2.80, 8 Pd 2.95-3.12, 2 Y 3.09-3.10
Pd7 0.6403 0.8798 0.2806  1 Sb 2.55, 1 Pd 2.84
Y2 0.1877 0.6877 0.3754  12 Pd 2.85-3.10
Pd8 0.3597 0.1202 0.7194  1 Sb 2.55, 1 Pd 2.84
Sb1 0.5000 0.0000 0.0000  8 Pd 2.55-2.80

Here is a relaxed YSb2Pd2 crystal from Alexandria. Energies are from PBE-GGA.

Its crystal system is tetragonal. The value obtained for the energy above the lowest structure with this stoichiometry is 0.000 eV per atom. The total energy comes out at -28.41 eV/cell. For the formation energy from raw total energies, the calculation gives -3.318 eV per formula unit. As for the space group: I4/mmm.

Cell lengths 4.4309, 4.4309, 6.5106 Å; angles 70.11, 70.11, 90.00 degrees
Closest atoms and distances in Å follow each position.
Sites, in units of the cell vectors:
Sb1 0.6228 0.6228 0.7545  4 Pd 2.65, 1 Sb 2.80
Y1 0.0000 0.0000 0.0000  8 Sb 3.43, 8 Pd 3.61
Sb2 0.3772 0.3772 0.2455  4 Pd 2.65, 1 Sb 2.80
Pd1 0.2500 0.7500 0.5000  4 Sb 2.65
Pd2 0.7500 0.2500 0.5000  4 Sb 2.65

Here is a relaxed Y2SbPd2 crystal from Alexandria. Energies are from PBE-GGA.

Its crystal system is tetragonal. The value obtained for the energy above the lowest structure with this stoichiometry is 0.000 eV per atom. The total energy comes out at -64.34 eV/cell. For the formation energy from raw total energies, the calculation gives -4.732 eV per formula unit. As for the space group: P4/mbm.

Cell lengths 7.5490, 7.5490, 3.9362 Å; angles 90.00, 90.00, 90.00 degrees
Closest atoms and distances in Å follow each position.
Sites, in units of the cell vectors:
Y1 0.3263 0.1737 0.5000  6 Pd 2.89-3.03
Pd1 0.8717 0.6283 0.0000  1 Pd 2.74, 6 Y 2.89-3.03, 2 Sb 2.97
Y2 0.6737 0.8263 0.5000  6 Pd 2.89-3.03
Sb1 0.5000 0.5000 0.0000  4 Pd 2.97
Y3 0.8263 0.3263 0.5000  6 Pd 2.89-3.03
Pd2 0.3717 0.8717 0.0000  1 Pd 2.74, 6 Y 2.89-3.03, 2 Sb 2.97
Pd3 0.6283 0.1283 0.0000  1 Pd 2.74, 6 Y 2.89-3.03, 2 Sb 2.97
Pd4 0.1283 0.3717 0.0000  1 Pd 2.74, 6 Y 2.89-3.03, 2 Sb 2.97
Sb2 0.0000 0.0000 0.0000  4 Pd 2.97
Y4 0.1737 0.6737 0.5000  6 Pd 2.89-3.03

Here is a relaxed YSbPd14 crystal from Alexandria. Energies are from PBE-GGA.

Its crystal system is tetragonal. The total energy comes out at -88.09 eV/cell. For the formation energy from raw total energies, the calculation gives -4.802 eV per formula unit. As for the space group: P4/mmm.

Cell lengths 5.7352, 5.7352, 7.8996 Å; angles 90.00, 90.00, 90.00 degrees
Closest atoms and distances in Å follow each position.
Sites, in units of the cell vectors:
Pd1 0.1222 0.6278 0.2454  10 Pd 2.79-2.90, 1 Sb 2.84, 1 Y 2.87
Pd2 0.6277 0.6277 0.7546  10 Pd 2.79-2.90, 1 Sb 2.84, 1 Y 2.87
Pd3 0.8750 0.3750 0.5000  8 Pd 2.86, 2 Sb 2.87, 2 Y 2.87
Y1 0.3750 0.3750 0.5000  12 Pd 2.87
Pd4 0.8750 0.3750 0.0000  12 Pd 2.81-2.87
Pd5 0.1223 0.1223 0.2454  10 Pd 2.79-2.90, 1 Sb 2.84, 1 Y 2.87
Pd6 0.6277 0.6277 0.2454  10 Pd 2.79-2.90, 1 Sb 2.84, 1 Y 2.87
Pd7 0.6278 0.1222 0.7546  10 Pd 2.79-2.90, 1 Sb 2.84, 1 Y 2.87
Pd8 0.1223 0.1223 0.7546  10 Pd 2.79-2.90, 1 Sb 2.84, 1 Y 2.87
Pd9 0.1222 0.6278 0.7546  10 Pd 2.79-2.90, 1 Sb 2.84, 1 Y 2.87
Pd10 0.3750 0.8750 0.5000  8 Pd 2.86, 2 Sb 2.87, 2 Y 2.87
Pd11 0.8750 0.8750 0.0000  12 Pd 2.79-2.87
Pd12 0.3750 0.3750 0.0000  12 Pd 2.82-2.87
Pd13 0.3750 0.8750 0.0000  12 Pd 2.81-2.87
Sb1 0.8750 0.8750 0.5000  12 Pd 2.84-2.87
Pd14 0.6278 0.1222 0.2454  10 Pd 2.79-2.90, 1 Sb 2.84, 1 Y 2.87

Here is a relaxed Y2SbPd2 crystal from Alexandria. Energies are from PBE-GGA.

Its crystal system is tetragonal. The value obtained for the energy above the lowest structure with this stoichiometry is 0.252 eV per atom. The total energy comes out at -30.91 eV/cell. For the formation energy from raw total energies, the calculation gives -3.474 eV per formula unit. As for the space group: I4/mmm.

Cell lengths 5.4771, 5.4771, 5.6169 Å; angles 60.82, 60.82, 90.00 degrees
Closest atoms and distances in Å follow each position.
Sites, in units of the cell vectors:
Y1 0.7500 0.2500 0.5000  4 Pd 2.85
Pd1 0.3459 0.3459 0.3081  1 Pd 2.51
Pd2 0.6541 0.6541 0.6919  1 Pd 2.51
Sb1 0.0000 0.0000 0.0000  2 Pd 2.81
Y2 0.2500 0.7500 0.5000  4 Pd 2.85

Here is a relaxed YSbPd4 crystal from Alexandria. Energies are from PBE-GGA.

Its crystal system is tetragonal. The value obtained for the energy above the lowest structure with this stoichiometry is 0.281 eV per atom. The total energy comes out at -65.98 eV/cell. For the formation energy from raw total energies, the calculation gives -1.631 eV per formula unit. As for the space group: P4_2/nmc.

Cell lengths 5.4076, 5.4076, 9.0231 Å; angles 90.00, 90.00, 90.00 degrees
Closest atoms and distances in Å follow each position.
Sites, in units of the cell vectors:
Pd1 0.0000 0.2639 0.2351  4 Pd 2.55-2.85, 1 Sb 2.56, 1 Y 2.78
Y1 0.5000 0.5000 0.0000  4 Pd 2.78
Pd2 0.2361 0.5000 0.7351  4 Pd 2.55-2.85, 1 Sb 2.56, 1 Y 2.78
Pd3 0.2639 0.0000 0.7649  4 Pd 2.55-2.85, 1 Sb 2.56, 1 Y 2.78
Pd4 0.7639 0.5000 0.7351  4 Pd 2.55-2.85, 1 Sb 2.56, 1 Y 2.78
Sb1 0.5000 0.5000 0.5000  4 Pd 2.56
Sb2 0.0000 0.0000 0.0000  4 Pd 2.56
Pd5 0.5000 0.2361 0.2649  4 Pd 2.55-2.85, 1 Sb 2.56, 1 Y 2.78
Y2 0.0000 0.0000 0.5000  4 Pd 2.78
Pd6 0.5000 0.7639 0.2649  4 Pd 2.55-2.85, 1 Sb 2.56, 1 Y 2.78
Pd7 0.0000 0.7361 0.2351  4 Pd 2.55-2.85, 1 Sb 2.56, 1 Y 2.78
Pd8 0.7361 0.0000 0.7649  4 Pd 2.55-2.85, 1 Sb 2.56, 1 Y 2.78

Here is a relaxed YSb2Pd6 crystal from Alexandria. Energies are from PBE-GGA.

Its crystal system is hexagonal. The total energy comes out at -49.90 eV/cell. For the formation energy from raw total energies, the calculation gives -4.032 eV per formula unit. As for the space group: P6/mmm.

Cell lengths 5.5993, 5.5993, 7.0038 Å; angles 90.00, 90.00, 120.00 degrees
Closest atoms and distances in Å follow each position.
Sites, in units of the cell vectors:
Pd1 0.5002 0.0000 0.8060  2 Sb 2.68, 5 Pd 2.72-2.80
Y1 0.0000 0.0000 0.0000  12 Pd 3.11
Sb1 0.3333 0.6667 0.5000  6 Pd 2.68
Pd2 0.5002 0.5002 0.1940  2 Sb 2.68, 5 Pd 2.72-2.80
Pd3 0.0000 0.4998 0.1940  2 Sb 2.68, 5 Pd 2.72-2.80
Pd4 0.0000 0.5002 0.8060  2 Sb 2.68, 5 Pd 2.72-2.80
Pd5 0.4998 0.4998 0.8060  2 Sb 2.68, 5 Pd 2.72-2.80
Pd6 0.4998 0.0000 0.1940  2 Sb 2.68, 5 Pd 2.72-2.80
Sb2 0.6667 0.3333 0.5000  6 Pd 2.68

What is the formula in the eleventh record? YSbPd4

Copy entry 4 word for word.
Here is a relaxed YSbPd3 crystal from Alexandria. Energies are from PBE-GGA.

Its crystal system is cubic. The value obtained for the energy above the lowest structure with this stoichiometry is 0.181 eV per atom. The total energy comes out at -27.34 eV/cell. For the formation energy from raw total energies, the calculation gives -1.178 eV per formula unit. As for the space group: Pm-3m.

Cell lengths 4.9253, 4.9253, 4.9253 Å; angles 90.00, 90.00, 90.00 degrees
Closest atoms and distances in Å follow each position.
Sites, in units of the cell vectors:
Pd1 0.5000 0.0000 0.0000  2 Sb 2.46
Pd2 0.0000 0.5000 0.0000  2 Sb 2.46
Sb1 0.0000 0.0000 0.0000  6 Pd 2.46
Pd3 0.0000 0.0000 0.5000  2 Sb 2.46
Y1 0.5000 0.5000 0.5000  12 Pd 3.48

Look up the formation energy from raw total energies of the fifth one. -5.124 eV per formula unit